First-principles (PBE) data for NaTl6Au3 after structural relaxation, as listed in Alexandria via LeMat-Bulk.

The value obtained for the magnetization is 0.00 Bohr magnetons per cell. For the calculated formation energy, the calculation gives -0.059 eV per atom. The space group is No. 11.

a = 3.764 Å, b = 11.547 Å, c = 12.687 Å
α = 102.23°, β = 90.00°, γ = 90.00°
Fractional coordinates of all 20 atoms:
1 Tl 0.250 0.535 0.379
2 Tl 0.750 0.465 0.621
3 Tl 0.250 0.193 0.646
4 Tl 0.250 0.896 0.589
5 Tl 0.750 0.755 0.036
6 Tl 0.750 0.464 0.124
7 Tl 0.250 0.239 0.223
8 Tl 0.750 0.104 0.411
9 Tl 0.750 0.807 0.354
10 Tl 0.250 0.536 0.876
11 Tl 0.250 0.245 0.964
12 Tl 0.750 0.761 0.777
13 Au 0.750 0.328 0.809
14 Au 0.750 0.685 0.536
15 Au 0.250 0.672 0.191
16 Au 0.250 0.315 0.464
17 Au 0.250 0.925 0.931
18 Au 0.750 0.075 0.069
19 Na 0.250 0.950 0.197
20 Na 0.750 0.050 0.803

First-principles (PBE) data for ZrCo2Hg after structural relaxation, as listed in Alexandria via LeMat-Bulk.

The value obtained for the magnetization is 2.74 Bohr magnetons per cell. For the calculated formation energy, the calculation gives 0.044 eV per atom. The space group is No. 99.

a = 3.090 Å, b = 3.090 Å, c = 6.814 Å
α = 90.00°, β = 90.00°, γ = 90.02°
Fractional coordinates of all 4 atoms:
1 Co 0.500 0.500 0.198
2 Co 0.000 0.000 0.046
3 Zr 0.500 0.500 0.795
4 Hg 0.000 0.000 0.461

First-principles (PBE) data for UCuAgS4 after structural relaxation, as listed in Alexandria via LeMat-Bulk.

The value obtained for the magnetization is 0.66 Bohr magnetons per cell. The space group is No. 74. The value obtained for the uncorrected formation energy is -64 kJ per mole of atoms.

a = 7.464 Å, b = 7.438 Å, c = 7.438 Å
α = 65.08°, β = 59.88°, γ = 59.88°
Fractional coordinates of all 14 atoms:
1 U 0.000 0.500 0.500
2 U 0.000 0.000 0.000
3 Cu 0.632 0.618 0.118
4 Cu 0.368 0.382 0.882
5 S 0.752 0.254 0.241
6 S 0.752 0.741 0.754
7 S 0.773 0.740 0.240
8 S 0.248 0.746 0.759
9 S 0.246 0.740 0.240
10 S 0.227 0.260 0.760
11 S 0.754 0.260 0.760
12 S 0.248 0.259 0.246
13 Ag 0.500 0.000 0.500
14 Ag 0.000 0.000 0.500

First-principles (PBE) data for InReTcP2 after structural relaxation, as listed in Alexandria via LeMat-Bulk.

The value obtained for the magnetization is 1.96 Bohr magnetons per cell. For the calculated formation energy, the calculation gives 0.821 eV per atom. The space group is No. 123.

a = 4.525 Å, b = 5.133 Å, c = 4.525 Å
α = 90.00°, β = 90.00°, γ = 90.00°
Fractional coordinates of all 5 atoms:
1 Re 0.000 0.000 0.000
2 P 0.500 0.000 0.000
3 P 0.000 0.000 0.500
4 Tc 0.000 0.500 0.000
5 In 0.500 0.500 0.500

First-principles (PBE) data for MgGa after structural relaxation, as listed in Alexandria via LeMat-Bulk.

The value obtained for the magnetization is 0.00 Bohr magnetons per cell. For the calculated formation energy, the calculation gives 0.579 eV per atom. The space group is No. 223.

a = 7.740 Å, b = 7.740 Å, c = 7.740 Å
α = 90.00°, β = 90.00°, γ = 90.00°
Fractional coordinates of all 12 atoms:
1 Mg 0.750 0.000 0.500
2 Mg 0.000 0.500 0.250
3 Mg 0.500 0.750 0.000
4 Mg 0.000 0.500 0.750
5 Mg 0.500 0.250 0.000
6 Mg 0.250 0.000 0.500
7 Ga 0.500 0.000 0.250
8 Ga 0.500 0.000 0.750
9 Ga 0.250 0.500 0.000
10 Ga 0.000 0.250 0.500
11 Ga 0.750 0.500 0.000
12 Ga 0.000 0.750 0.500

First-principles (PBE) data for TaCu2Re after structural relaxation, as listed in Alexandria via LeMat-Bulk.

The value obtained for the magnetization is 0.35 Bohr magnetons per cell. For the calculated formation energy, the calculation gives 0.318 eV per atom. The space group is No. 166.

a = 9.183 Å, b = 9.183 Å, c = 9.183 Å
α = 17.12°, β = 17.12°, γ = 17.12°
Fractional coordinates of all 4 atoms:
1 Re 0.250 0.250 0.250
2 Cu 0.997 0.997 0.997
3 Cu 0.503 0.503 0.503
4 Ta 0.750 0.750 0.750

First-principles (PBE) data for LiErScFe after structural relaxation, as listed in Alexandria via LeMat-Bulk.

The value obtained for the magnetization is 0.00 Bohr magnetons per cell. For the calculated formation energy, the calculation gives 0.041 eV per atom. The space group is No. 216.

a = 4.673 Å, b = 4.673 Å, c = 4.673 Å
α = 60.00°, β = 60.00°, γ = 60.00°
Fractional coordinates of all 4 atoms:
1 Li 0.000 0.000 0.000
2 Er 0.250 0.250 0.250
3 Fe 0.500 0.500 0.500
4 Sc 0.750 0.750 0.750

First-principles (PBE) data for InAu2Se after structural relaxation, as listed in Alexandria via LeMat-Bulk.

The value obtained for the magnetization is 0.00 Bohr magnetons per cell. The space group is No. 123. The value obtained for the uncorrected formation energy is 18 kJ per mole of atoms.

a = 3.200 Å, b = 3.200 Å, c = 7.958 Å
α = 90.00°, β = 90.00°, γ = 90.00°
Fractional coordinates of all 4 atoms:
1 Se 0.500 0.500 0.750
2 In 0.500 0.500 0.250
3 Au 0.000 0.000 0.497
4 Au 0.000 0.000 0.003

First-principles (PBE) data for Na2AsSe3 after structural relaxation, as listed in Alexandria via LeMat-Bulk.

The value obtained for the magnetization is 0.00 Bohr magnetons per cell. The space group is No. 64. The value obtained for the uncorrected formation energy is -51 kJ per mole of atoms.

a = 7.907 Å, b = 7.650 Å, c = 14.234 Å
α = 90.00°, β = 90.00°, γ = 121.12°
Fractional coordinates of all 24 atoms:
1 Na 0.656 0.311 0.078
2 Na 0.344 0.689 0.922
3 Na 0.476 0.952 0.330
4 Na 0.024 0.048 0.830
5 Na 0.156 0.311 0.422
6 Na 0.524 0.048 0.670
7 Na 0.844 0.689 0.578
8 Na 0.976 0.952 0.170
9 Se 0.937 0.373 0.250
10 Se 0.437 0.373 0.250
11 Se 0.359 0.718 0.516
12 Se 0.141 0.282 0.016
13 Se 0.082 0.164 0.627
14 Se 0.582 0.164 0.873
15 Se 0.563 0.627 0.750
16 Se 0.063 0.627 0.750
17 Se 0.859 0.718 0.984
18 Se 0.918 0.836 0.373
19 Se 0.418 0.836 0.127
20 Se 0.641 0.282 0.484
21 As 0.758 0.516 0.848
22 As 0.742 0.484 0.348
23 As 0.258 0.516 0.652
24 As 0.242 0.484 0.152

First-principles (PBE) data for Tb2MgHg after structural relaxation, as listed in Alexandria via LeMat-Bulk.

The value obtained for the magnetization is 0.00 Bohr magnetons per cell. For the calculated formation energy, the calculation gives -0.264 eV per atom. The space group is No. 225.

a = 5.317 Å, b = 5.317 Å, c = 5.317 Å
α = 60.00°, β = 60.00°, γ = 60.00°
Fractional coordinates of all 4 atoms:
1 Tb 0.250 0.250 0.250
2 Tb 0.750 0.750 0.750
3 Mg 0.500 0.500 0.500
4 Hg 0.000 0.000 0.000

First-principles (PBE) data for Ba4SiBrCl2 after structural relaxation, as listed in Alexandria via LeMat-Bulk.

The value obtained for the magnetization is 0.00 Bohr magnetons per cell. The space group is No. 10. The value obtained for the uncorrected formation energy is -141 kJ per mole of atoms.

a = 4.782 Å, b = 8.021 Å, c = 8.238 Å
α = 70.13°, β = 90.00°, γ = 90.00°
Fractional coordinates of all 8 atoms:
1 Ba 0.000 0.746 0.732
2 Ba 0.500 0.262 0.731
3 Ba 0.500 0.738 0.269
4 Ba 0.000 0.254 0.268
5 Br 0.500 0.500 0.000
6 Si 0.000 0.500 0.500
7 Cl 0.000 0.000 0.000
8 Cl 0.500 0.000 0.500

First-principles (PBE) data for Ce8Pu after structural relaxation, as listed in Alexandria via LeMat-Bulk.

The value obtained for the magnetization is 4.35 Bohr magnetons per cell. For the calculated formation energy, the calculation gives 0.012 eV per atom. The space group is No. 139.

a = 7.411 Å, b = 7.411 Å, c = 7.411 Å
α = 143.14°, β = 95.74°, γ = 95.74°
Fractional coordinates of all 9 atoms:
1 Ce 0.000 0.665 0.335
2 Ce 0.000 0.335 0.665
3 Ce 0.670 0.335 0.335
4 Ce 0.667 0.000 0.667
5 Ce 0.330 0.665 0.665
6 Ce 0.333 0.000 0.333
7 Ce 0.667 0.667 0.000
8 Ce 0.333 0.333 0.000
9 Pu 0.000 0.000 0.000

no.,DFT total energy (eV/cell)
1,-51.9
2,-22.9
3,-78.8
4,-32.3
5,-20.8
6,-31.2
7,-21.1
8,-12.0
9,-83.8
10,-12.2
11,-30.2
12,-61.7